Material: KPuCdSe3
Method: DFT, PBE
State: optimized geometry

Uncorrected formation energy   -1.14 eV per atom
Magnetic moment   0.83 μB per atom
Symmetry   No. 11

Unit cell a=4.3249 b=8.9350 c=10.2490 alpha=106.45 beta=90.00 gamma=90.00
Site moments in Bohr magnetons follow the coordinates.
Sites, in units of the cell vectors:
Se 0.2500 0.5388 0.8513  -0.12
Se 0.2500 0.7711 0.4602  -0.02
Se 0.7500 0.4612 0.1487  -0.12
Pu 0.2500 0.6732 0.1404  5.14
Pu 0.7500 0.3268 0.8596  5.14
Cd 0.2500 0.0868 0.6090  0.00
K 0.2500 0.2109 0.2276  0.00
Cd 0.7500 0.9132 0.3910  0.00
Se 0.7500 0.2289 0.5398  -0.02
Se 0.2500 0.1052 0.8691  -0.07
Se 0.7500 0.8948 0.1309  -0.07
K 0.7500 0.7891 0.7724  0.00